Record 1
A relaxed Ce2Si3Rh5 crystal, computed with GGA-PBE.

Structure (POSCAR):
```
Ce2Si3Rh5
1.0
-2.1866 -3.0358 1.5987
0.3517 -3.2667 -5.7221
11.5232 -3.9984 2.9909
Rh Ce Si
10 4 6
Direct
0.8715 0.7406 0.7431 Rh
0.7074 0.4295 0.4148 Rh
0.9400 0.1011 0.8800 Rh
0.1285 0.2406 0.2569 Rh
0.0600 0.6011 0.1200 Rh
0.6021 0.8980 0.2042 Rh
0.2926 0.9295 0.5852 Rh
0.3979 0.3980 0.7958 Rh
0.2880 0.5114 0.5759 Rh
0.7120 0.0114 0.4241 Rh
0.8236 0.2427 0.6472 Ce
0.1764 0.7427 0.3528 Ce
0.4856 0.7571 0.9712 Ce
0.5144 0.2571 0.0288 Ce
0.3878 0.9888 0.7756 Si
0.2264 0.2204 0.4529 Si
0.7736 0.7204 0.5471 Si
0.6122 0.4888 0.2244 Si
0.9433 0.4751 0.8867 Si
0.0567 0.9751 0.1133 Si
```

Properties
Total moment   0.18 μB/f.u.
Total energy   -147.162 eV per cell
DOS(E_F)   19.0 states/eV per cell
SG   Cmc2_1, No. 36
ρ   8.77 g cm⁻³


Record 2
A relaxed MnSbAu crystal, computed with GGA-PBE.

Structure (POSCAR):
```
MnSbAu
1.0
-0.6550 3.2898 2.0124
-0.3608 -2.0848 3.2901
7.6487 0.7277 1.3003
Au Sb Mn
2 2 2
Direct
0.7500 0.2500 0.0000 Au
0.2500 0.7500 0.0000 Au
0.7500 0.7500 0.3635 Sb
0.2500 0.2500 0.6365 Sb
0.7500 0.7500 0.7314 Mn
0.2500 0.2500 0.2686 Mn
```

Properties
E above lowest polymorph   67 meV per atom
Total moment   3.64 μB/f.u.
Total energy   -32.677 eV per cell
DOS(E_F)   2.9 states/eV per cell
SG   P4/nmm, No. 129
ρ   10.41 g cm⁻³


Record 3
A relaxed KAg2HgGe crystal, computed with GGA-PBE.

Structure (POSCAR):
```
KAg2HgGe
1.0
5.0804 0.0000 0.0000
0.0000 5.0804 0.0000
0.0000 0.0000 5.3855
Ge Hg Ag K
1 1 2 1
Direct
0.0000 0.0000 0.0000 Ge
0.0000 0.0000 0.5000 Hg
0.5000 0.0000 0.0000 Ag
0.0000 0.5000 0.0000 Ag
0.5000 0.5000 0.5000 K
```

Properties
Formation energy   0.032 eV per atom
Total moment   0.00 μB/f.u.
Total energy   -11.557 eV per cell
DOS(E_F)   1.4 states/eV per cell
SG   P4/mmm, No. 123
ρ   6.31 g cm⁻³


Record 4
A relaxed BaCdSbPd3 crystal, computed with GGA-PBE.

Structure (POSCAR):
```
BaCdSbPd3
1.0
-4.2943 1.5936 4.8626
4.6974 -1.9947 4.8022
0.0273 6.9487 -2.2532
Pd Sb Cd Ba
6 2 2 2
Direct
0.0000 0.2957 0.0000 Pd
0.0000 0.7043 0.0000 Pd
0.2500 0.1803 0.3606 Pd
0.5000 0.7043 0.0000 Pd
0.5000 0.2957 0.0000 Pd
0.7500 0.8197 0.6394 Pd
0.2500 0.3821 0.7643 Sb
0.7500 0.6179 0.2357 Sb
0.2500 0.9687 0.9374 Cd
0.7500 0.0313 0.0626 Cd
0.2500 0.7060 0.4120 Ba
0.7500 0.2940 0.5880 Ba
```

Properties
Total moment   0.00 μB/f.u.
Total energy   -50.344 eV per cell
DOS(E_F)   6.9 states/eV per cell
SG   Cmcm, No. 63
ρ   7.65 g cm⁻³


Record 5
A relaxed HfReTcRu2 crystal, computed with GGA-PBE.

Structure (POSCAR):
```
HfReTcRu2
1.0
-1.8564 3.2571 -2.5445
-4.4245 -1.4505 1.3713
0.1598 2.8438 3.5236
Ru Re Tc Hf
2 1 1 1
Direct
0.0000 0.0000 0.5000 Ru
0.5000 0.0000 0.0000 Ru
0.5000 0.5000 0.5000 Re
0.0000 0.0000 0.0000 Tc
0.0000 0.5000 0.0000 Hf
```

Properties
Formation energy   1.629 eV per atom
Total moment   1.90 μB/f.u.
Total energy   -43.174 eV per cell
DOS(E_F)   5.4 states/eV per cell
SG   P4/mmm, No. 123
ρ   11.08 g cm⁻³


Record 6
A relaxed LiCaAgHg crystal, computed with GGA-PBE.

Structure (POSCAR):
```
LiCaAgHg
1.0
-1.6275 -4.7708 -0.3405
0.2494 -3.0473 4.0220
-4.2338 -1.4003 2.3747
Ca Hg Li Ag
1 1 1 1
Direct
0.2500 0.2500 0.2500 Ca
0.5000 0.5000 0.5000 Hg
0.7500 0.7500 0.7500 Li
0.0000 0.0000 0.0000 Ag
```

Properties
Formation energy   -0.309 eV per atom
Total moment   0.00 μB/f.u.
Total energy   -8.305 eV per cell
DOS(E_F)   3.2 states/eV per cell
SG   F-43m, No. 216
ρ   6.47 g cm⁻³